[1]
The following is a PBE-GGA calculation of a relaxed ZrCr2Cu crystal, from Alexandria via LeMat-Bulk.

a b c (Å): 3.6164 3.6164 18.7786
angles (deg): 90.00 90.00 90.00
Last column: nearest neighbours and their distance in Å.
Space group I-42d (No. 122)
One atom of each set of equivalent atoms:
Zr1 0.0000 0.0000 0.0000 x4  4 Cu 2.56, 4 Cr 2.68
Cr1 0.2483 0.7500 0.6250 x8  4 Cr 2.55-2.57, 2 Cu 2.67, 2 Zr 2.68
Cu1 0.0000 0.0000 0.5000 x4  4 Zr 2.56, 4 Cr 2.67

Summary:
- Density of states at the Fermi level: 12.6 states/eV/cell
- Spin magnetization: 0.00 μB/cell
- Distance to the lowest polymorph of the same formula: 536 meV/atom
- Final energy: -7.307 eV per atom

[2]
The following is a PBE-GGA calculation of a relaxed Zr2CrCu2 crystal, from Alexandria via LeMat-Bulk.

a b c (Å): 7.1575 7.1575 3.3940
angles (deg): 90.00 90.00 90.00
Last column: nearest neighbours and their distance in Å.
Space group P4/mbm (No. 127)
One atom of each set of equivalent atoms:
Zr1 0.1776 0.3224 0.0000 x4  6 Cu 2.64-2.76
Cr1 0.0000 0.0000 0.5000 x2  4 Cu 2.84, 8 Zr 3.13
Cu1 0.1222 0.6222 0.5000 x4  1 Cu 2.47, 6 Zr 2.64-2.76

Summary:
- Density of states at the Fermi level: 8.8 states/eV/cell
- Spin magnetization: 6.11 μB/cell
- Final energy: -6.916 eV per atom

[3]
The following is a PBE-GGA calculation of a relaxed ZrCr2Cu crystal, from Alexandria via LeMat-Bulk.

a b c (Å): 3.0845 4.4380 8.4406
angles (deg): 90.00 90.00 90.00
Last column: nearest neighbours and their distance in Å.
Space group Cmm2 (No. 35)
One atom of each set of equivalent atoms:
Zr1 0.0000 0.0000 0.0000 x2  4 Zr 2.70, 2 Cr 2.82, 2 Cu 2.83
Cr1 0.0000 0.0000 0.4820 x2  2 Cr 2.30, 2 Cu 2.53
Cr2 0.0000 0.5000 0.2803 x2  2 Cr 2.30
Cu1 0.0000 0.5000 0.7188 x2  2 Cr 2.53, 4 Cu 2.70

Summary:
- Density of states at the Fermi level: 6.8 states/eV/cell
- Spin magnetization: 0.00 μB/cell
- Distance to the lowest polymorph of the same formula: 169 meV/atom
- Final energy: -7.674 eV per atom

[4]
The following is a PBE-GGA calculation of a relaxed ZrCr2Cu crystal, from Alexandria via LeMat-Bulk.

a b c (Å): 2.9318 2.9318 26.5998
angles (deg): 90.00 90.00 120.00
Last column: nearest neighbours and their distance in Å.
Space group R-3m (No. 166, hexagonal axes)
One atom of each set of equivalent atoms:
Zr1 0.0000 0.0000 0.0000 x3  6 Zr 2.93, 6 Cr 2.94
Cr1 0.0000 0.0000 0.2429 x6  3 Cu 2.64, 6 Cr 2.93, 3 Zr 2.94
Cu1 0.0000 0.0000 0.5000 x3  6 Cr 2.64, 6 Cu 2.93

Summary:
- Density of states at the Fermi level: 16.8 states/eV/cell
- Spin magnetization: 19.59 μB/cell
- Distance to the lowest polymorph of the same formula: 503 meV/atom
- Final energy: -7.340 eV per atom

[5]
The following is a PBE-GGA calculation of a relaxed ZrCr2Cu crystal, from Alexandria via LeMat-Bulk.

a b c (Å): 3.3579 4.0684 8.4054
angles (deg): 90.00 90.00 90.00
Last column: nearest neighbours and their distance in Å.
Space group Cmmm (No. 65)
One atom of each set of equivalent atoms:
Zr1 0.0000 0.0000 0.0000 x2  4 Zr 2.64, 4 Cr 2.87
Cr1 0.0000 0.5000 0.2767 x4  4 Cu 2.52-2.77, 4 Cr 2.64
Cu1 0.0000 0.0000 0.5000 x2  8 Cr 2.52-2.77, 4 Cu 2.64

Summary:
- Density of states at the Fermi level: 9.3 states/eV/cell
- Spin magnetization: 0.00 μB/cell
- Distance to the lowest polymorph of the same formula: 367 meV/atom
- Final energy: -7.476 eV per atom

[6]
The following is a PBE-GGA calculation of a relaxed ZrCr2Cu crystal, from Alexandria via LeMat-Bulk.

a b c (Å): 3.2329 4.3318 4.3437
angles (deg): 90.00 90.00 90.00
Last column: nearest neighbours and their distance in Å.
Space group Pmmm (No. 47)
One atom of each set of equivalent atoms:
Zr1 0.0000 0.0000 0.0000 x1  4 Cr 2.70, 4 Cu 2.71
Cr1 0.0000 0.5000 0.5000 x1  4 Cu 2.70, 4 Cr 2.71
Cr2 0.5000 0.5000 0.0000 x1  4 Zr 2.70, 4 Cr 2.71
Cu1 0.5000 0.0000 0.5000 x1  4 Cr 2.70, 4 Zr 2.71

Summary:
- Density of states at the Fermi level: 3.9 states/eV/cell
- Spin magnetization: 1.21 μB/cell
- Distance to the lowest polymorph of the same formula: 130 meV/atom
- Final energy: -7.713 eV per atom

[7]
The following is a PBE-GGA calculation of a relaxed ZrCrCu2 crystal, from Alexandria via LeMat-Bulk.

a b c (Å): 4.1703 2.9327 10.2582
angles (deg): 90.00 90.00 90.00
Last column: nearest neighbours and their distance in Å.
Space group Amm2 (No. 38)
One atom of each set of equivalent atoms:
Zr1 0.0000 0.0000 0.0000 x2  7 Cu 2.68-2.86, 2 Zr 2.93
Cr1 0.5000 0.0000 0.6744 x2  7 Cu 2.70-2.87, 2 Cr 2.93
Cu1 0.0000 0.0000 0.2611 x2  2 Cu 2.50, 1 Zr 2.68, 4 Cr 2.70
Cu2 0.5000 0.0000 0.3948 x2  2 Cu 2.50, 2 Cr 2.70, 4 Zr 2.77

Summary:
- Density of states at the Fermi level: 5.1 states/eV/cell
- Spin magnetization: 7.02 μB/cell
- Distance to the lowest polymorph of the same formula: 72 meV/atom
- Final energy: -6.411 eV per atom

[8]
The following is a PBE-GGA calculation of a relaxed Dy4Cr crystal, from Alexandria via LeMat-Bulk.

a b c (Å): 5.3389 5.3389 5.3389
angles (deg): 90.00 90.00 90.00
Last column: nearest neighbours and their distance in Å.
Space group Pm-3m (No. 221)
One atom of each set of equivalent atoms:
Dy1 0.0000 0.0000 0.0000 x1  12 Dy 3.78
Dy2 0.0000 0.5000 0.5000 x3  2 Cr 2.67
Cr1 0.5000 0.5000 0.5000 x1  6 Dy 2.67

Summary:
- Density of states at the Fermi level: 7.7 states/eV/cell
- Spin magnetization: 1.28 μB/cell
- Final energy: -5.211 eV per atom

[9]
The following is a PBE-GGA calculation of a relaxed DyCr6 crystal, from Alexandria via LeMat-Bulk.

a b c (Å): 6.2331 6.2331 6.2331
angles (deg): 90.00 90.00 90.00
Last column: nearest neighbours and their distance in Å.
Space group Im-3m (No. 229)
One atom of each set of equivalent atoms:
Dy1 0.0000 0.0000 0.0000 x2  24 Cr 3.48
Cr1 0.0000 0.2500 0.5000 x12  4 Cr 2.20

Summary:
- Density of states at the Fermi level: 25.2 states/eV/cell
- Spin magnetization: 0.00 μB/cell
- Final energy: -7.664 eV per atom

[10]
The following is a PBE-GGA calculation of a relaxed LiDyErCr crystal, from Alexandria via LeMat-Bulk.

a b c (Å): 7.1409 7.1409 7.1409
angles (deg): 90.00 90.00 90.00
Last column: nearest neighbours and their distance in Å.
Space group F-43m (No. 216)
One atom of each set of equivalent atoms:
Li1 0.0000 0.0000 0.0000 x4  4 Dy 3.09, 4 Er 3.09
Dy1 0.2500 0.2500 0.7500 x4  4 Cr 3.09, 4 Li 3.09
Er1 0.2500 0.2500 0.2500 x4  4 Cr 3.09, 4 Li 3.09
Cr1 0.0000 0.0000 0.5000 x4  4 Dy 3.09, 4 Er 3.09

Summary:
- Density of states at the Fermi level: 11.3 states/eV/cell
- Spin magnetization: 12.62 μB/cell
- Final energy: -5.009 eV per atom

[11]
The following is a PBE-GGA calculation of a relaxed DyErZnCr crystal, from Alexandria via LeMat-Bulk.

a b c (Å): 7.0982 7.0982 7.0982
angles (deg): 90.00 90.00 90.00
Last column: nearest neighbours and their distance in Å.
Space group F-43m (No. 216)
One atom of each set of equivalent atoms:
Dy1 0.0000 0.0000 0.0000 x4  4 Cr 3.07, 4 Zn 3.07
Er1 0.0000 0.0000 0.5000 x4  4 Cr 3.07, 4 Zn 3.07
Zn1 0.2500 0.2500 0.2500 x4  4 Dy 3.07, 4 Er 3.07
Cr1 0.2500 0.2500 0.7500 x4  4 Dy 3.07, 4 Er 3.07

Summary:
- Density of states at the Fermi level: 6.1 states/eV/cell
- Spin magnetization: 13.83 μB/cell
- Final energy: -5.012 eV per atom